1.
Crystalline SrGa5 at its relaxed geometry. Source: Alexandria, functional PBE-GGA.

Structure (CIF):
```
data_SrGa5
_chemical_formula_sum 'Sr2 Ga10'
_symmetry_space_group_name_H-M 'C m m m'
_symmetry_Int_Tables_number 65
_symmetry_space_group_name_Hall '-C 2 2'
_cell_length_a 4.540
_cell_length_b 12.620
_cell_length_c 4.559
_cell_angle_alpha 90.00
_cell_angle_beta 90.00
_cell_angle_gamma 90.00
loop_
_atom_site_label
_atom_site_type_symbol
_atom_site_fract_x
_atom_site_fract_y
_atom_site_fract_z
Sr1 Sr 0.000 0.000 0.000
Ga1 Ga 0.000 0.180 0.500
Ga2 Ga 0.000 0.313 0.000
Ga3 Ga 0.000 0.500 0.500
```

Its volume is 21.77 Å³/atom. Its energy of formation is -1.1 eV per formula unit. The relative energy among the computed polymorphs comes out at 0.54 eV per formula unit.

2.
Crystalline Sr2Ga at its relaxed geometry. Source: Alexandria, functional PBE-GGA.

Structure (CIF):
```
data_Sr2Ga
_chemical_formula_sum 'Sr8 Ga4'
_symmetry_space_group_name_H-M 'C m c m'
_symmetry_Int_Tables_number 63
_symmetry_space_group_name_Hall '-C 2c 2'
_cell_length_a 4.866
_cell_length_b 21.616
_cell_length_c 4.513
_cell_angle_alpha 90.00
_cell_angle_beta 90.00
_cell_angle_gamma 90.00
loop_
_atom_site_label
_atom_site_type_symbol
_atom_site_fract_x
_atom_site_fract_y
_atom_site_fract_z
Sr1 Sr 0.000 0.075 0.250
Sr2 Sr 0.000 0.311 0.250
Ga1 Ga 0.000 0.467 0.250
```

Its volume is 39.56 Å³/atom. Its energy of formation is -0.8 eV per formula unit.

3.
Crystalline SrGa2 at its relaxed geometry. Source: Alexandria, functional PBE-GGA.

Structure (CIF):
```
data_SrGa2
_chemical_formula_sum 'Sr1 Ga2'
_symmetry_space_group_name_H-M 'P 6/m m m'
_symmetry_Int_Tables_number 191
_symmetry_space_group_name_Hall '-P 6 2'
_cell_length_a 4.3515
_cell_length_b 4.3515
_cell_length_c 4.8115
_cell_angle_alpha 90.00
_cell_angle_beta 90.00
_cell_angle_gamma 120.00
loop_
_atom_site_label
_atom_site_type_symbol
_atom_site_fract_x
_atom_site_fract_y
_atom_site_fract_z
Sr1 Sr 0.0000 0.0000 0.0000
Ga1 Ga 0.3333 0.6667 0.5000
```

Its volume is 26.30 Å³/atom. Its energy of formation is -1.5 eV per formula unit.

4.
Crystalline Sr3Ga at its relaxed geometry. Source: Alexandria, functional PBE-GGA.

Structure (CIF):
```
data_Sr3Ga
_chemical_formula_sum 'Sr24 Ga8'
_symmetry_space_group_name_H-M 'P 42/n'
_symmetry_Int_Tables_number 86
_cell_length_a 13.878
_cell_length_b 13.878
_cell_length_c 6.867
_cell_angle_alpha 90.00
_cell_angle_beta 90.00
_cell_angle_gamma 90.00
loop_
_symmetry_equiv_pos_as_xyz
'x,y,z'
'-x,-y,-z'
'-y,x+1/2,z+1/2'
'y,-x+1/2,-z+1/2'
'-x+1/2,-y+1/2,z'
'x+1/2,y+1/2,-z'
'y+1/2,-x,z+1/2'
'-y+1/2,x,-z+1/2'
loop_
_atom_site_label
_atom_site_type_symbol
_atom_site_fract_x
_atom_site_fract_y
_atom_site_fract_z
Sr1 Sr 0.026 0.919 0.229
Sr2 Sr 0.118 0.290 0.023
Sr3 Sr 0.132 0.833 0.727
Ga1 Ga 0.043 0.300 0.525
```

Its volume is 41.33 Å³/atom. Its energy of formation is -0.7 eV per formula unit.

5.
Crystalline Sr3Ga at its relaxed geometry. Source: Alexandria, functional PBE-GGA.

Structure (CIF):
```
data_Sr3Ga
_chemical_formula_sum 'Sr3 Ga1'
_symmetry_space_group_name_H-M 'P m m 2'
_symmetry_Int_Tables_number 25
_cell_length_a 4.074
_cell_length_b 4.199
_cell_length_c 10.783
_cell_angle_alpha 90.00
_cell_angle_beta 90.00
_cell_angle_gamma 90.00
loop_
_symmetry_equiv_pos_as_xyz
'x,y,z'
'-x,-y,z'
'-x,y,z'
'x,-y,z'
loop_
_atom_site_label
_atom_site_type_symbol
_atom_site_fract_x
_atom_site_fract_y
_atom_site_fract_z
Sr1 Sr 0.000 0.000 0.000
Sr2 Sr 0.000 0.500 0.339
Sr3 Sr 0.500 0.500 0.700
Ga1 Ga 0.500 0.000 0.469
```

Its volume is 46.11 Å³/atom. Its energy of formation is -0.1 eV per formula unit.

6.
Crystalline Sr3Ga2 at its relaxed geometry. Source: Alexandria, functional PBE-GGA.

Structure (CIF):
```
data_Sr3Ga2
_chemical_formula_sum 'Sr6 Ga4'
_symmetry_space_group_name_H-M 'I 4/m m m'
_symmetry_Int_Tables_number 139
_symmetry_space_group_name_Hall '-I 4 2'
_cell_length_a 3.960
_cell_length_b 3.960
_cell_length_c 21.839
_cell_angle_alpha 90.00
_cell_angle_beta 90.00
_cell_angle_gamma 90.00
loop_
_atom_site_label
_atom_site_type_symbol
_atom_site_fract_x
_atom_site_fract_y
_atom_site_fract_z
Sr1 Sr 0.000 0.000 0.000
Sr2 Sr 0.000 0.000 0.172
Ga1 Ga 0.000 0.000 0.411
```

Its volume is 34.25 Å³/atom. Its energy of formation is -1.5 eV per formula unit.